A plane-wave DFT calculation with GGA-PBE was carried out for an optimized crystal structure of GaGe3Ir3.

Structure (POSCAR):
```
GaGe3Ir3
1.0
-1.143 5.886 -4.645
-5.298 -3.959 -3.713
-5.306 2.685 4.708
Ga Ge Ir
4 12 12
Direct
0.074 0.574 0.926
0.926 0.074 0.574
0.426 0.426 0.426
0.574 0.926 0.074
0.880 0.380 0.120
0.907 0.907 0.907
0.785 0.715 0.285
0.120 0.880 0.380
0.215 0.215 0.215
0.285 0.785 0.715
0.093 0.407 0.593
0.380 0.120 0.880
0.715 0.285 0.785
0.620 0.620 0.620
0.593 0.093 0.407
0.407 0.593 0.093
0.713 0.626 0.943
0.874 0.057 0.213
0.943 0.713 0.626
0.126 0.557 0.287
0.287 0.126 0.557
0.213 0.874 0.057
0.057 0.213 0.874
0.374 0.443 0.787
0.557 0.287 0.126
0.626 0.943 0.713
0.787 0.374 0.443
0.443 0.787 0.374
```

Output
The calculation puts the final energy at -43.77 eV/f.u. Its space-group type is P2_13, No. 198.